Model P:
LuTh2Bi: relaxed, PBE-GGA.

crystal system: cubic
ρ: 11.26 g/cm³

abc: 7.9379 7.9379 7.9379
angles: 90.00 90.00 90.00
Last column: nearest neighbours and their distance in Å.
Space group Fm-3m (No. 225)
Asymmetric unit:
Lu (0.0000, 0.0000, 0.0000) [4 per cell]  8 Th 3.44
Th (0.2500, 0.2500, 0.2500) [8 per cell]  4 Bi 3.44, 4 Lu 3.44
Bi (0.0000, 0.0000, 0.5000) [4 per cell]  8 Th 3.44

---

Model Q:
LuTh2Bi: relaxed, PBE-GGA.

crystal system: tetragonal
ρ: 11.86 g/cm³

abc: 4.7773 4.7773 5.2006
angles: 90.00 90.00 90.00
Last column: nearest neighbours and their distance in Å.
Space group P4/mmm (No. 123)
Asymmetric unit:
Lu (0.0000, 0.0000, 0.0000) [1 per cell]  4 Bi 3.38, 8 Th 3.53
Th (0.0000, 0.5000, 0.5000) [2 per cell]  4 Th 3.38, 4 Bi 3.53, 4 Lu 3.53
Bi (0.5000, 0.5000, 0.0000) [1 per cell]  4 Lu 3.38, 8 Th 3.53

---

Model R:
LuTh2Bi: relaxed, PBE-GGA.

crystal system: tetragonal
ρ: 11.17 g/cm³

abc: 4.1620 4.1620 7.2801
angles: 90.00 90.00 90.00
Last column: nearest neighbours and their distance in Å.
Space group P4/mmm (No. 123)
Asymmetric unit:
Lu (0.0000, 0.0000, 0.0000) [1 per cell]  8 Th 3.51, 2 Bi 3.64
Th (0.5000, 0.5000, 0.2629) [2 per cell]  4 Bi 3.41, 1 Th 3.45, 4 Lu 3.51
Bi (0.0000, 0.0000, 0.5000) [1 per cell]  8 Th 3.41, 2 Lu 3.64

---

The structure shown above that is least stable: model P.